Entry 1:
Compound: Nd3Ag2Rh
Source: the Alexandria database
Functional: PBE
Structure: optimized geometry

Cell: 5.1828 5.1828 6.4214 Å, 90.00 90.00 120.00°
Space group P-3m1 (No. 164)
Inequivalent atoms, fractional coordinates:
Nd: 0.0000 0.0000 0.0000 (multiplicity 1)
Nd: 0.3333 0.6667 0.6449 (multiplicity 2)
Ag: 0.3333 0.6667 0.1436 (multiplicity 2)
Rh: 0.0000 0.0000 0.5000 (multiplicity 1)

* Fermi-level density of states: 1.02 states/eV/atom
* E_form: -0.38 eV per atom
* energy above the lowest structure with this stoichiometry: 0 meV per atom



Entry 2:
Compound: Mn2CuNi
Source: the Alexandria database
Functional: PBE
Structure: optimized geometry

Cell: 6.638 6.638 5.076 Å, 90.00 90.00 90.00°
Space group I-42d (No. 122)
Inequivalent atoms, fractional coordinates:
Mn: 0.241 0.250 0.125 (multiplicity 8)
Cu: 0.000 0.000 0.500 (multiplicity 4)
Ni: 0.000 0.000 0.000 (multiplicity 4)

* Fermi-level density of states: 0.94 states/eV/atom
* E_form: 0.51 eV per atom



Entry 3:
Compound: Re2Pt
Source: the Alexandria database
Functional: PBE
Structure: optimized geometry

Cell: 3.937 3.937 23.232 Å, 90.00 90.00 90.00°
Space group I4_1/amd (No. 141, origin choice 2)
Inequivalent atoms, fractional coordinates:
Re: 0.000 0.250 0.123 (multiplicity 8)
Re: 0.000 0.250 0.293 (multiplicity 8)
Pt: 0.000 0.250 0.793 (multiplicity 8)

* Fermi-level density of states: 0.78 states/eV/atom
* E_form: -0.07 eV per atom
* energy above the lowest structure with this stoichiometry: 14 meV per atom



Entry 4:
Compound: SrY2HgC
Source: the Alexandria database
Functional: PBE
Structure: optimized geometry

Cell: 4.883 4.883 5.531 Å, 90.00 90.00 90.00°
Space group P4/mmm (No. 123)
Inequivalent atoms, fractional coordinates:
Sr: 0.000 0.000 0.000 (multiplicity 1)
Y: 0.000 0.500 0.500 (multiplicity 2)
Hg: 0.500 0.500 0.000 (multiplicity 1)
C: 0.000 0.000 0.500 (multiplicity 1)

* Fermi-level density of states: 0.59 states/eV/atom
* E_form: -0.18 eV per atom



Entry 5:
Compound: CsCaCuTe2
Source: the Alexandria database
Functional: PBE
Structure: optimized geometry

Cell: 7.825 16.868 6.152 Å, 90.00 90.00 90.00°
Space group Cmme (No. 67)
Inequivalent atoms, fractional coordinates:
Cs: 0.000 0.250 0.239 (multiplicity 4)
Ca: 0.250 0.000 0.500 (multiplicity 4)
Cu: 0.000 0.000 0.000 (multiplicity 4)
Te: 0.000 0.112 0.743 (multiplicity 8)

* Fermi-level density of states: 0.00 states/eV/atom
* energy relative to the elements, uncorrected: -0.9235 eV/atom



Entry 6:
Compound: CsV2Tc2
Source: the Alexandria database
Functional: PBE
Structure: optimized geometry

Cell: 3.941 3.941 15.167 Å, 90.00 90.00 90.00°
Space group I4/mmm (No. 139)
Inequivalent atoms, fractional coordinates:
Cs: 0.000 0.000 0.000 (multiplicity 2)
V: 0.000 0.500 0.250 (multiplicity 4)
Tc: 0.000 0.000 0.344 (multiplicity 4)

* Fermi-level density of states: 0.61 states/eV/atom
* E_form: 0.69 eV per atom
* energy above the lowest structure with this stoichiometry: 0 meV per atom



no.,energy (eV for the cell shown)
1,-29.7
2,-104.6
3,-249.3
4,-25.1
5,-71.4
6,-72.8